Model w:
VASP calculation (PBE) on a relaxed YSc2CdO crystal. Values from VASP.

```
&SYSTEM
  ibrav = 0, nat = 5, ntyp = 4
/
ATOMIC_SPECIES
Y 88.91 Y.upf
Sc 44.96 Sc.upf
Cd 112.41 Cd.upf
O 16.00 O.upf
CELL_PARAMETERS angstrom
4.507 0.000 0.000
0.000 4.507 0.000
0.000 0.000 4.735
ATOMIC_POSITIONS crystal
Y 0.000 0.000 0.000
Sc 0.000 0.500 0.500
Sc 0.500 0.000 0.500
Cd 0.500 0.500 0.000
O 0.000 0.000 0.500
```

Values from the calculation:
Total moment   0.00 μB per formula unit

=====

Model x:
VASP calculation (PBE) on a relaxed YSc2CdO crystal. Values from VASP.

```
&SYSTEM
  ibrav = 0, nat = 5, ntyp = 4
/
ATOMIC_SPECIES
Y 88.91 Y.upf
Sc 44.96 Sc.upf
Cd 112.41 Cd.upf
O 16.00 O.upf
CELL_PARAMETERS angstrom
4.347 0.000 0.000
0.000 4.347 0.000
0.000 0.000 5.838
ATOMIC_POSITIONS crystal
Y 0.000 0.000 0.000
Sc 0.000 0.500 0.500
Sc 0.500 0.000 0.500
Cd 0.500 0.500 0.000
O 0.500 0.500 0.500
```

Values from the calculation:
Total moment   0.00 μB per formula unit

=====

Most stable of them? model w.

=====

Model w:
VASP calculation (PBE) on a relaxed Cd2Se2O7 crystal. Values from VASP.

```
&SYSTEM
  ibrav = 0, nat = 11, ntyp = 3
/
ATOMIC_SPECIES
Cd 112.41 Cd.upf
Se 78.96 Se.upf
O 16.00 O.upf
CELL_PARAMETERS angstrom
3.915 -4.543 0.000
3.915 4.543 0.000
-1.685 0.000 4.723
ATOMIC_POSITIONS crystal
Cd 0.198 0.802 0.000
Cd 0.802 0.198 0.000
Se 0.283 0.283 0.610
Se 0.717 0.717 0.390
O 0.099 0.099 0.300
O 0.099 0.407 0.793
O 0.407 0.099 0.793
O 0.500 0.500 0.500
O 0.593 0.901 0.207
O 0.901 0.593 0.207
O 0.901 0.901 0.700
```

Values from the calculation:
Total moment   0.00 μB per formula unit

=====

Model x:
VASP calculation (PBE) on a relaxed Cd2Se2O7 crystal. Values from VASP.

```
&SYSTEM
  ibrav = 0, nat = 22, ntyp = 3
/
ATOMIC_SPECIES
Cd 112.41 Cd.upf
Se 78.96 Se.upf
O 16.00 O.upf
CELL_PARAMETERS angstrom
5.179 0.000 0.000
0.000 11.820 0.000
-1.808 0.000 5.635
ATOMIC_POSITIONS crystal
Cd 0.029 0.144 0.386
Cd 0.029 0.356 0.886
Cd 0.971 0.644 0.114
Cd 0.971 0.856 0.614
Se 0.350 0.599 0.698
Se 0.350 0.901 0.198
Se 0.650 0.099 0.802
Se 0.650 0.401 0.302
O 0.094 0.681 0.507
O 0.094 0.819 0.007
O 0.185 0.543 0.891
O 0.185 0.957 0.391
O 0.433 0.197 0.641
O 0.433 0.303 0.141
O 0.500 0.000 0.000
O 0.500 0.500 0.500
O 0.567 0.697 0.859
O 0.567 0.803 0.359
O 0.815 0.043 0.609
O 0.815 0.457 0.109
O 0.906 0.181 0.993
O 0.906 0.319 0.493
```

Values from the calculation:
Total moment   0.00 μB per formula unit

=====

Most stable of them? model x.

=====

Model w:
VASP calculation (PBE) on a relaxed Cd3SeO crystal. Values from VASP.

```
&SYSTEM
  ibrav = 0, nat = 5, ntyp = 3
/
ATOMIC_SPECIES
Cd 112.41 Cd.upf
Se 78.96 Se.upf
O 16.00 O.upf
CELL_PARAMETERS angstrom
5.335 0.000 0.000
0.000 5.335 0.000
0.000 0.000 5.335
ATOMIC_POSITIONS crystal
Cd 0.000 0.000 0.500
Cd 0.000 0.500 0.000
Cd 0.500 0.000 0.000
Se 0.000 0.000 0.000
O 0.500 0.500 0.500
```

Values from the calculation:
Total moment   0.00 μB per formula unit

=====

Model x:
VASP calculation (PBE) on a relaxed Cd3SeO crystal. Values from VASP.

```
&SYSTEM
  ibrav = 0, nat = 10, ntyp = 3
/
ATOMIC_SPECIES
Cd 112.41 Cd.upf
Se 78.96 Se.upf
O 16.00 O.upf
CELL_PARAMETERS angstrom
5.433 -3.033 0.000
5.433 3.033 0.000
-4.264 0.000 7.096
ATOMIC_POSITIONS crystal
Cd 0.035 0.570 0.818
Cd 0.046 0.046 0.334
Cd 0.430 0.965 0.182
Cd 0.570 0.035 0.818
Cd 0.954 0.954 0.666
Cd 0.965 0.430 0.182
Se 0.417 0.417 0.144
Se 0.583 0.583 0.856
O 0.153 0.153 0.650
O 0.847 0.847 0.350
```

Values from the calculation:
Total moment   0.00 μB per formula unit

=====

Most stable of them? model x.

=====

Model w:
VASP calculation (PBE) on a relaxed CdSi2SeO crystal. Values from VASP.

```
&SYSTEM
  ibrav = 0, nat = 5, ntyp = 4
/
ATOMIC_SPECIES
Cd 112.41 Cd.upf
Si 28.09 Si.upf
Se 78.96 Se.upf
O 16.00 O.upf
CELL_PARAMETERS angstrom
4.068 0.000 0.000
0.000 4.068 0.000
0.000 0.000 5.909
ATOMIC_POSITIONS crystal
Cd 0.000 0.000 0.000
Si 0.000 0.500 0.500
Si 0.500 0.000 0.500
Se 0.500 0.500 0.000
O 0.000 0.000 0.500
```

Values from the calculation:
Total moment   0.00 μB per formula unit

=====

Model x:
VASP calculation (PBE) on a relaxed CdSi2SeO crystal. Values from VASP.

```
&SYSTEM
  ibrav = 0, nat = 5, ntyp = 4
/
ATOMIC_SPECIES
Cd 112.41 Cd.upf
Si 28.09 Si.upf
Se 78.96 Se.upf
O 16.00 O.upf
CELL_PARAMETERS angstrom
5.095 0.000 0.000
0.000 5.095 0.000
0.000 0.000 5.027
ATOMIC_POSITIONS crystal
Cd 0.000 0.000 0.000
Si 0.000 0.500 0.000
Si 0.500 0.000 0.000
Se 0.000 0.000 0.500
O 0.500 0.500 0.500
```

Values from the calculation:
Total moment   0.00 μB per formula unit

=====

Most stable of them? model w.

=====

Model w:
VASP calculation (PBE) on a relaxed SmCdO crystal. Values from VASP.

```
&SYSTEM
  ibrav = 0, nat = 12, ntyp = 3
/
ATOMIC_SPECIES
Sm 150.36 Sm.upf
Cd 112.41 Cd.upf
O 16.00 O.upf
CELL_PARAMETERS angstrom
3.773 0.000 0.000
0.000 3.773 0.000
0.000 0.000 17.873
ATOMIC_POSITIONS crystal
Sm 0.000 0.000 0.079
Sm 0.000 0.000 0.921
Sm 0.500 0.500 0.421
Sm 0.500 0.500 0.579
Cd 0.000 0.000 0.290
Cd 0.000 0.000 0.710
Cd 0.500 0.500 0.210
Cd 0.500 0.500 0.790
O 0.000 0.500 0.000
O 0.000 0.500 0.500
O 0.500 0.000 0.000
O 0.500 0.000 0.500
```

Values from the calculation:
Total moment   0.00 μB per formula unit

=====

Model x:
VASP calculation (PBE) on a relaxed SmCdO crystal. Values from VASP.

```
&SYSTEM
  ibrav = 0, nat = 6, ntyp = 3
/
ATOMIC_SPECIES
Sm 150.36 Sm.upf
Cd 112.41 Cd.upf
O 16.00 O.upf
CELL_PARAMETERS angstrom
4.000 0.000 0.000
0.000 4.000 0.000
0.000 0.000 8.175
ATOMIC_POSITIONS crystal
Sm 0.250 0.250 0.139
Sm 0.750 0.750 0.861
Cd 0.250 0.250 0.578
Cd 0.750 0.750 0.422
O 0.250 0.750 0.000
O 0.750 0.250 0.000
```

Values from the calculation:
Total moment   0.00 μB per formula unit

=====

Most stable of them? model x.

=====

Model w:
VASP calculation (PBE) on a relaxed Cd2Sn2O crystal. Values from VASP.

```
&SYSTEM
  ibrav = 0, nat = 10, ntyp = 3
/
ATOMIC_SPECIES
Cd 112.41 Cd.upf
Sn 118.71 Sn.upf
O 16.00 O.upf
CELL_PARAMETERS angstrom
6.152 0.000 0.000
0.000 6.152 0.000
0.000 0.000 6.082
ATOMIC_POSITIONS crystal
Cd 0.165 0.335 0.000
Cd 0.335 0.835 0.000
Cd 0.665 0.165 0.000
Cd 0.835 0.665 0.000
Sn 0.185 0.685 0.500
Sn 0.315 0.185 0.500
Sn 0.685 0.815 0.500
Sn 0.815 0.315 0.500
O 0.000 0.000 0.000
O 0.500 0.500 0.000
```

Values from the calculation:
Total moment   0.00 μB per formula unit

=====

Model x:
VASP calculation (PBE) on a relaxed Cd2Sn2O crystal. Values from VASP.

```
&SYSTEM
  ibrav = 0, nat = 10, ntyp = 3
/
ATOMIC_SPECIES
Cd 112.41 Cd.upf
Sn 118.71 Sn.upf
O 16.00 O.upf
CELL_PARAMETERS angstrom
3.984 0.000 0.000
0.000 3.984 0.000
0.000 0.000 15.947
ATOMIC_POSITIONS crystal
Cd 0.000 0.000 0.085
Cd 0.000 0.000 0.915
Cd 0.500 0.500 0.415
Cd 0.500 0.500 0.585
Sn 0.000 0.500 0.250
Sn 0.000 0.500 0.750
Sn 0.500 0.000 0.250
Sn 0.500 0.000 0.750
O 0.000 0.000 0.500
O 0.500 0.500 0.000
```

Values from the calculation:
Total moment   0.00 μB per formula unit

=====

Most stable of them? model w.

=====

Model w:
VASP calculation (PBE) on a relaxed CdSnO2 crystal. Values from VASP.

```
&SYSTEM
  ibrav = 0, nat = 16, ntyp = 3
/
ATOMIC_SPECIES
Cd 112.41 Cd.upf
Sn 118.71 Sn.upf
O 16.00 O.upf
CELL_PARAMETERS angstrom
6.103 0.000 0.000
0.000 6.103 0.000
0.000 0.000 6.103
ATOMIC_POSITIONS crystal
Cd 0.000 0.000 0.000
Cd 0.000 0.500 0.500
Cd 0.500 0.000 0.500
Cd 0.500 0.500 0.000
Sn 0.000 0.000 0.500
Sn 0.000 0.500 0.000
Sn 0.500 0.000 0.000
Sn 0.500 0.500 0.500
O 0.250 0.250 0.250
O 0.250 0.250 0.750
O 0.250 0.750 0.250
O 0.250 0.750 0.750
O 0.750 0.250 0.250
O 0.750 0.250 0.750
O 0.750 0.750 0.250
O 0.750 0.750 0.750
```

Values from the calculation:
Total moment   0.00 μB per formula unit

=====

Model x:
VASP calculation (PBE) on a relaxed CdSnO2 crystal. Values from VASP.

```
&SYSTEM
  ibrav = 0, nat = 12, ntyp = 3
/
ATOMIC_SPECIES
Cd 112.41 Cd.upf
Sn 118.71 Sn.upf
O 16.00 O.upf
CELL_PARAMETERS angstrom
3.231 0.000 0.000
-1.616 2.798 0.000
0.000 0.000 23.977
ATOMIC_POSITIONS crystal
Cd 0.000 0.000 0.000
Cd 0.333 0.667 0.667
Cd 0.667 0.333 0.333
Sn 0.000 0.000 0.500
Sn 0.333 0.667 0.167
Sn 0.667 0.333 0.833
O 0.000 0.000 0.123
O 0.000 0.000 0.877
O 0.333 0.667 0.544
O 0.333 0.667 0.790
O 0.667 0.333 0.210
O 0.667 0.333 0.456
```

Values from the calculation:
Total moment   0.00 μB per formula unit

=====

Model y:
VASP calculation (PBE) on a relaxed CdSnO2 crystal. Values from VASP.

```
&SYSTEM
  ibrav = 0, nat = 12, ntyp = 3
/
ATOMIC_SPECIES
Cd 112.41 Cd.upf
Sn 118.71 Sn.upf
O 16.00 O.upf
CELL_PARAMETERS angstrom
3.344 0.000 0.000
-1.672 2.896 0.000
0.000 0.000 19.590
ATOMIC_POSITIONS crystal
Cd 0.000 0.000 0.000
Cd 0.333 0.667 0.667
Cd 0.667 0.333 0.333
Sn 0.000 0.000 0.500
Sn 0.333 0.667 0.167
Sn 0.667 0.333 0.833
O 0.000 0.000 0.397
O 0.000 0.000 0.603
O 0.333 0.667 0.063
O 0.333 0.667 0.270
O 0.667 0.333 0.730
O 0.667 0.333 0.937
```

Values from the calculation:
Total moment   0.00 μB per formula unit

=====

Model z:
VASP calculation (PBE) on a relaxed CdSnO2 crystal. Values from VASP.

```
&SYSTEM
  ibrav = 0, nat = 16, ntyp = 3
/
ATOMIC_SPECIES
Cd 112.41 Cd.upf
Sn 118.71 Sn.upf
O 16.00 O.upf
CELL_PARAMETERS angstrom
5.228 0.000 0.000
0.000 5.228 0.000
0.000 0.000 10.789
ATOMIC_POSITIONS crystal
Cd 0.000 0.000 0.000
Cd 0.000 0.500 0.250
Cd 0.500 0.000 0.750
Cd 0.500 0.500 0.500
Sn 0.000 0.000 0.500
Sn 0.000 0.500 0.750
Sn 0.500 0.000 0.250
Sn 0.500 0.500 0.000
O 0.242 0.250 0.125
O 0.250 0.742 0.375
O 0.250 0.758 0.875
O 0.258 0.250 0.625
O 0.742 0.750 0.625
O 0.750 0.242 0.875
O 0.750 0.258 0.375
O 0.758 0.750 0.125
```

Values from the calculation:
Total moment   0.00 μB per formula unit

=====

Most stable of them? model x.

=====

Model w:
VASP calculation (PBE) on a relaxed CdSn2O crystal. Values from VASP.

```
&SYSTEM
  ibrav = 0, nat = 16, ntyp = 3
/
ATOMIC_SPECIES
Cd 112.41 Cd.upf
Sn 118.71 Sn.upf
O 16.00 O.upf
CELL_PARAMETERS angstrom
6.905 0.000 0.000
0.000 6.905 0.000
0.000 0.000 6.905
ATOMIC_POSITIONS crystal
Cd 0.000 0.000 0.000
Cd 0.000 0.500 0.500
Cd 0.500 0.000 0.500
Cd 0.500 0.500 0.000
Sn 0.250 0.250 0.250
Sn 0.250 0.250 0.750
Sn 0.250 0.750 0.250
Sn 0.250 0.750 0.750
Sn 0.750 0.250 0.250
Sn 0.750 0.250 0.750
Sn 0.750 0.750 0.250
Sn 0.750 0.750 0.750
O 0.000 0.000 0.500
O 0.000 0.500 0.000
O 0.500 0.000 0.000
O 0.500 0.500 0.500
```

Values from the calculation:
Total moment   0.00 μB per formula unit

=====

Model x:
VASP calculation (PBE) on a relaxed CdSn2O crystal. Values from VASP.

```
&SYSTEM
  ibrav = 0, nat = 16, ntyp = 3
/
ATOMIC_SPECIES
Cd 112.41 Cd.upf
Sn 118.71 Sn.upf
O 16.00 O.upf
CELL_PARAMETERS angstrom
5.484 0.000 0.000
0.000 5.484 0.000
0.000 0.000 13.381
ATOMIC_POSITIONS crystal
Cd 0.000 0.000 0.000
Cd 0.000 0.500 0.250
Cd 0.500 0.000 0.750
Cd 0.500 0.500 0.500
Sn 0.142 0.250 0.625
Sn 0.250 0.642 0.875
Sn 0.250 0.858 0.375
Sn 0.358 0.250 0.125
Sn 0.642 0.750 0.125
Sn 0.750 0.142 0.375
Sn 0.750 0.358 0.875
Sn 0.858 0.750 0.625
O 0.000 0.000 0.500
O 0.000 0.500 0.750
O 0.500 0.000 0.250
O 0.500 0.500 0.000
```

Values from the calculation:
Total moment   0.00 μB per formula unit

=====

Most stable of them? model x.

=====

Model w:
VASP calculation (PBE) on a relaxed Ta2CdO6 crystal. Values from VASP.

```
&SYSTEM
  ibrav = 0, nat = 9, ntyp = 3
/
ATOMIC_SPECIES
Ta 180.95 Ta.upf
Cd 112.41 Cd.upf
O 16.00 O.upf
CELL_PARAMETERS angstrom
5.053 -1.913 0.000
5.053 1.913 0.000
-3.134 0.000 6.460
ATOMIC_POSITIONS crystal
Ta 0.179 0.179 0.128
Ta 0.821 0.821 0.872
Cd 0.000 0.000 0.500
O 0.016 0.016 0.190
O 0.302 0.302 0.936
O 0.339 0.339 0.383
O 0.661 0.661 0.617
O 0.698 0.698 0.064
O 0.984 0.984 0.810
```

Values from the calculation:
Total moment   0.00 μB per formula unit

=====

Model x:
VASP calculation (PBE) on a relaxed Ta2CdO6 crystal. Values from VASP.

```
&SYSTEM
  ibrav = 0, nat = 27, ntyp = 3
/
ATOMIC_SPECIES
Ta 180.95 Ta.upf
Cd 112.41 Cd.upf
O 16.00 O.upf
CELL_PARAMETERS angstrom
9.097 0.000 0.000
-4.549 7.878 0.000
0.000 0.000 4.657
ATOMIC_POSITIONS crystal
Ta 0.000 0.309 0.000
Ta 0.000 0.643 0.500
Ta 0.309 0.000 0.000
Ta 0.357 0.357 0.500
Ta 0.643 0.000 0.500
Ta 0.691 0.691 0.000
Cd 0.000 0.000 0.500
Cd 0.333 0.667 0.988
Cd 0.667 0.333 0.012
O 0.082 0.534 0.245
O 0.120 0.871 0.250
O 0.129 0.249 0.250
O 0.204 0.790 0.744
O 0.210 0.413 0.744
O 0.249 0.129 0.750
O 0.413 0.210 0.256
O 0.451 0.918 0.245
O 0.466 0.549 0.245
O 0.534 0.082 0.755
O 0.549 0.466 0.755
O 0.587 0.796 0.744
O 0.751 0.880 0.250
O 0.790 0.204 0.256
O 0.796 0.587 0.256
O 0.871 0.120 0.750
O 0.880 0.751 0.750
O 0.918 0.451 0.755
```

Values from the calculation:
Total moment   0.00 μB per formula unit

=====

Model y:
VASP calculation (PBE) on a relaxed Ta2CdO6 crystal. Values from VASP.

```
&SYSTEM
  ibrav = 0, nat = 36, ntyp = 3
/
ATOMIC_SPECIES
Ta 180.95 Ta.upf
Cd 112.41 Cd.upf
O 16.00 O.upf
CELL_PARAMETERS angstrom
14.982 0.000 0.000
0.000 5.985 0.000
0.000 0.000 5.194
ATOMIC_POSITIONS crystal
Ta 0.166 0.174 0.231
Ta 0.166 0.826 0.731
Ta 0.334 0.326 0.731
Ta 0.334 0.674 0.231
Ta 0.666 0.326 0.769
Ta 0.666 0.674 0.269
Ta 0.834 0.174 0.269
Ta 0.834 0.826 0.769
Cd 0.000 0.314 0.750
Cd 0.000 0.686 0.250
Cd 0.500 0.186 0.250
Cd 0.500 0.814 0.750
O 0.086 0.378 0.107
O 0.086 0.622 0.607
O 0.105 0.090 0.549
O 0.105 0.910 0.049
O 0.245 0.134 0.907
O 0.245 0.866 0.407
O 0.255 0.366 0.407
O 0.255 0.634 0.907
O 0.395 0.410 0.049
O 0.395 0.590 0.549
O 0.414 0.122 0.607
O 0.414 0.878 0.107
O 0.586 0.122 0.893
O 0.586 0.878 0.393
O 0.605 0.410 0.451
O 0.605 0.590 0.951
O 0.745 0.366 0.093
O 0.745 0.634 0.593
O 0.755 0.134 0.593
O 0.755 0.866 0.093
O 0.895 0.090 0.951
O 0.895 0.910 0.451
O 0.914 0.378 0.393
O 0.914 0.622 0.893
```

Values from the calculation:
Total moment   0.00 μB per formula unit

=====

Most stable of them? model y.

=====

Model w:
VASP calculation (PBE) on a relaxed TaCd2O2 crystal. Values from VASP.

```
&SYSTEM
  ibrav = 0, nat = 10, ntyp = 3
/
ATOMIC_SPECIES
Ta 180.95 Ta.upf
Cd 112.41 Cd.upf
O 16.00 O.upf
CELL_PARAMETERS angstrom
4.073 0.000 0.000
0.000 4.073 0.000
0.000 0.000 9.480
ATOMIC_POSITIONS crystal
Ta 0.000 0.000 0.000
Ta 0.500 0.500 0.500
Cd 0.000 0.000 0.358
Cd 0.000 0.000 0.642
Cd 0.500 0.500 0.142
Cd 0.500 0.500 0.858
O 0.000 0.500 0.250
O 0.000 0.500 0.750
O 0.500 0.000 0.250
O 0.500 0.000 0.750
```

Values from the calculation:
Total moment   2.28 μB per formula unit

=====

Model x:
VASP calculation (PBE) on a relaxed TaCd2O2 crystal. Values from VASP.

```
&SYSTEM
  ibrav = 0, nat = 10, ntyp = 3
/
ATOMIC_SPECIES
Ta 180.95 Ta.upf
Cd 112.41 Cd.upf
O 16.00 O.upf
CELL_PARAMETERS angstrom
7.223 0.000 0.000
0.000 7.223 0.000
0.000 0.000 2.918
ATOMIC_POSITIONS crystal
Ta 0.000 0.000 0.000
Ta 0.500 0.500 0.000
Cd 0.134 0.366 0.000
Cd 0.366 0.866 0.000
Cd 0.634 0.134 0.000
Cd 0.866 0.634 0.000
O 0.173 0.673 0.500
O 0.327 0.173 0.500
O 0.673 0.827 0.500
O 0.827 0.327 0.500
```

Values from the calculation:
Total moment   0.00 μB per formula unit

=====

Most stable of them? model w.